(w)
A relaxed TiSiAs2Se crystal. Source: the Alexandria database, functional PBE.

```
TiSiAs2Se
1.0
4.9191 0.0000 0.0000
0.0000 4.9191 0.0000
0.0000 0.0000 4.8361
Ti Si As Se
1 1 2 1
direct
0.0000 0.0000 0.0000
0.5000 0.5000 0.5000
0.0000 0.5000 0.0000
0.5000 0.0000 0.0000
0.0000 0.0000 0.5000
```

N(E_F) = 3.708 states/eV per cell

(x)
A relaxed TiSiAs2Se crystal. Source: the Alexandria database, functional PBE.

```
TiSiAs2Se
1.0
4.7001 0.0000 0.0000
0.0000 4.7001 0.0000
0.0000 0.0000 4.7866
Ti Si As Se
1 1 2 1
direct
0.0000 0.0000 0.0000
0.5000 0.5000 0.5000
0.0000 0.5000 0.5000
0.5000 0.0000 0.5000
0.5000 0.5000 0.0000
```

N(E_F) = 5.757 states/eV per cell

Preferred: (w); penalty for the next structure: 195 meV/atom.